Li3Cr3RhO8 | the Alexandria database | PBE+U | optimized geometry; total DFT energy (no corrections) = -6.777 eV/atom; space-group type = R-3m; V = 150.8 Å³/cell; N(E_F) = 0.3524 states/eV/atom
1.0
2.989 1.725 4.873
-2.989 1.725 4.873
0.000 -3.451 4.873
Li Cr Rh O
3 3 1 8
Cartesian
-1.494 -0.863 4.873
-1.494 0.863 9.745
0.000 1.725 4.873
-2.989 0.000 7.309
-1.494 0.863 2.436
1.494 0.863 2.436
0.000 0.000 7.309
0.000 0.000 3.520
-1.486 -0.858 8.381
0.000 -1.716 6.237
-1.486 0.858 6.237
1.486 -0.858 8.381
0.000 1.716 8.381
1.486 0.858 6.237
0.000 0.000 11.098